[1]
VIrF2 | PBE with a Hubbard U | optimized geometry

Properties
Final energy: -0.3582 Ry per atom
E above lowest polymorph: 1236 meV per atom

abc: 5.943 5.943 5.943
angles: 90.00 90.00 90.00
Space group Fm-3m (No. 225)
One atom of each set of equivalent atoms:
V1 0.000 0.000 0.000 x4
Ir1 0.000 0.000 0.500 x4
F1 0.250 0.250 0.250 x8

---

[2]
VIrF2 | PBE with a Hubbard U | optimized geometry

Properties
Final energy: -0.4491 Ry per atom
E above lowest polymorph: 0 meV per atom

abc: 2.8432 2.8432 29.8521
angles: 90.00 90.00 120.00
Space group R-3m (No. 166, hexagonal axes)
One atom of each set of equivalent atoms:
V1 0.0000 0.0000 0.0000 x3
Ir1 0.0000 0.0000 0.5000 x3
F1 0.0000 0.0000 0.3748 x6

---

[3]
VIr2F | PBE with a Hubbard U | optimized geometry

Properties
Final energy: -0.4840 Ry per atom
E above lowest polymorph: 0 meV per atom

abc: 8.179 8.179 4.119
angles: 90.00 90.00 90.00
Space group I-42d (No. 122)
One atom of each set of equivalent atoms:
V1 0.000 0.000 0.000 x4
Ir1 0.177 0.250 0.125 x8
F1 0.000 0.000 0.500 x4

---

[4]
VIr3F | PBE with a Hubbard U | optimized geometry

Properties
Final energy: -0.4361 Ry per atom

abc: 4.259 4.259 4.259
angles: 90.00 90.00 90.00
Space group Pm-3m (No. 221)
One atom of each set of equivalent atoms:
V1 0.000 0.000 0.000 x1
Ir1 0.000 0.500 0.500 x3
F1 0.500 0.500 0.500 x1

---

[5]
VIr2F | PBE with a Hubbard U | optimized geometry

Properties
Final energy: -0.4740 Ry per atom
E above lowest polymorph: 135 meV per atom

abc: 5.985 5.985 5.985
angles: 90.00 90.00 90.00
Space group Fm-3m (No. 225)
One atom of each set of equivalent atoms:
V1 0.000 0.000 0.000 x4
Ir1 0.250 0.250 0.250 x8
F1 0.000 0.000 0.500 x4

---

[6]
Ir2WF | PBE with a Hubbard U | optimized geometry

Properties
Final energy: -0.4658 Ry per atom
E above lowest polymorph: 142 meV per atom

abc: 6.714 6.714 5.433
angles: 90.00 90.00 90.00
Space group I-42d (No. 122)
One atom of each set of equivalent atoms:
Ir1 0.241 0.250 0.125 x8
W1 0.000 0.000 0.500 x4
F1 0.000 0.000 0.000 x4

---

[7]
IrWF3 | PBE with a Hubbard U | optimized geometry

Properties
Final energy: -0.3083 Ry per atom
E above lowest polymorph: 66 meV per atom

abc: 4.161 4.161 4.161
angles: 90.00 90.00 90.00
Space group Pm-3m (No. 221)
One atom of each set of equivalent atoms:
Ir1 0.000 0.000 0.000 x1
W1 0.500 0.500 0.500 x1
F1 0.000 0.500 0.500 x3

---

[8]
IrW3F | PBE with a Hubbard U | optimized geometry

Properties
Final energy: -0.3122 Ry per atom
E above lowest polymorph: 1007 meV per atom

abc: 4.918 4.918 4.918
angles: 90.00 90.00 90.00
Space group Pm-3m (No. 221)
One atom of each set of equivalent atoms:
Ir1 0.000 0.000 0.000 x1
W1 0.000 0.000 0.500 x3
F1 0.500 0.500 0.500 x1

---

[9]
Ir3WF | PBE with a Hubbard U | optimized geometry

Properties
Final energy: -0.4285 Ry per atom
E above lowest polymorph: 0 meV per atom

abc: 4.264 4.264 4.264
angles: 90.00 90.00 90.00
Space group Pm-3m (No. 221)
One atom of each set of equivalent atoms:
Ir1 0.000 0.000 0.500 x3
W1 0.500 0.500 0.500 x1
F1 0.000 0.000 0.000 x1

---

[10]
IrW3F | PBE with a Hubbard U | optimized geometry

Properties
Final energy: -0.3862 Ry per atom
E above lowest polymorph: 0 meV per atom

abc: 4.239 4.239 4.239
angles: 90.00 90.00 90.00
Space group Pm-3m (No. 221)
One atom of each set of equivalent atoms:
Ir1 0.000 0.000 0.000 x1
W1 0.000 0.500 0.500 x3
F1 0.500 0.500 0.500 x1

---

[11]
Ir3WF | PBE with a Hubbard U | optimized geometry

Properties
Final energy: -0.3793 Ry per atom
E above lowest polymorph: 670 meV per atom

abc: 4.807 4.807 4.807
angles: 90.00 90.00 90.00
Space group Pm-3m (No. 221)
One atom of each set of equivalent atoms:
Ir1 0.000 0.000 0.500 x3
W1 0.000 0.000 0.000 x1
F1 0.500 0.500 0.500 x1

---

[12]
Ir2WF | PBE with a Hubbard U | optimized geometry

Properties
Final energy: -0.4762 Ry per atom
E above lowest polymorph: 0 meV per atom

abc: 6.149 6.149 6.149
angles: 90.00 90.00 90.00
Space group Fm-3m (No. 225)
One atom of each set of equivalent atoms:
Ir1 0.250 0.250 0.250 x8
W1 0.000 0.000 0.000 x4
F1 0.000 0.000 0.500 x4

---

Number 1: calculated volume 13.12 Å³ per atom. Number 2: calculated volume 17.42 Å³ per atom. Number 3: calculated volume 17.22 Å³ per atom. Number 4: calculated volume 15.45 Å³ per atom. Number 5: calculated volume 13.40 Å³ per atom. Number 6: calculated volume 15.31 Å³ per atom. Number 7: calculated volume 14.41 Å³ per atom. Number 8: calculated volume 23.79 Å³ per atom. Number 9: calculated volume 15.51 Å³ per atom. Number 10: calculated volume 15.23 Å³ per atom. Number 11: calculated volume 22.21 Å³ per atom. Number 12: calculated volume 14.53 Å³ per atom.